## ZnAg3 (SCAN)

Data for a PBEsol-optimized structure of ZnAg3.

abc: 4.6361 5.6147 5.6147
angles: 120.00 90.00 90.00
Last column: nearest neighbours and their distance in Å.
Fractional positions:
Zn1 0.7500 0.6667 0.3333  12 Ag 2.81-2.82
Zn2 0.2500 0.3333 0.6667  12 Ag 2.81-2.82
Ag1 0.7500 0.1683 0.3366  8 Ag 2.78-2.84, 4 Zn 2.81-2.82
Ag2 0.2500 0.8317 0.6634  8 Ag 2.78-2.84, 4 Zn 2.81-2.82
Ag3 0.7500 0.1683 0.8317  8 Ag 2.78-2.84, 4 Zn 2.81-2.82
Ag4 0.2500 0.8317 0.1683  8 Ag 2.78-2.84, 4 Zn 2.81-2.82
Ag5 0.7500 0.6634 0.8317  8 Ag 2.78-2.84, 4 Zn 2.81-2.82
Ag6 0.2500 0.3366 0.1683  8 Ag 2.78-2.84, 4 Zn 2.81-2.82

Values from the calculation:
The calculation puts the formation enthalpy at 0 K at 0.00 eV/atom. As for the total magnetic moment: 0.000 μB per cell. The space group is P6_3/mmc.